This record from the Alexandria database describes a relaxed PrEr6Tm4 crystal. The functional is PBE.

Cell and atoms, written as POSCAR:
```
PrEr6Tm4
1.0
-2.287 -5.004 -1.013
5.267 1.023 -1.499
8.066 -8.279 22.692
Er Tm Pr
12 8 2
direct
0.500 0.000 0.000
0.171 0.343 0.899
0.829 0.657 0.101
0.838 0.677 0.680
0.505 0.010 0.750
0.829 0.657 0.399
0.495 0.990 0.250
0.162 0.323 0.180
0.171 0.343 0.601
0.838 0.677 0.820
0.500 0.000 0.500
0.162 0.323 0.320
0.835 0.670 0.959
0.506 0.011 0.621
0.835 0.670 0.541
0.165 0.330 0.459
0.165 0.330 0.041
0.494 0.989 0.379
0.506 0.011 0.879
0.494 0.989 0.121
0.829 0.657 0.250
0.171 0.343 0.750
```

Calculated values
Energy above the lowest structure with this stoichiometry = 0.000 eV/atom



This record from the Alexandria database describes a relaxed PrEr8Tm3 crystal. The functional is PBE.

Cell and atoms, written as POSCAR:
```
PrEr8Tm3
1.0
8.158 -1.316 -2.211
-5.862 6.097 -1.279
1.198 1.316 8.367
Er Tm Pr
8 3 1
direct
0.831 0.251 0.082
0.505 0.245 0.260
0.014 0.755 0.259
0.495 0.755 0.741
0.169 0.749 0.918
0.986 0.245 0.740
0.169 0.251 0.420
0.831 0.749 0.580
0.500 0.761 0.261
0.500 0.239 0.739
0.000 0.500 0.500
0.000 0.000 0.000
```



This record from the Alexandria database describes a relaxed Pr5ErTm3 crystal. The functional is PBE.

Cell and atoms, written as POSCAR:
```
Pr5ErTm3
1.0
6.357 0.000 0.000
-3.178 9.508 -4.441
0.000 -2.375 11.540
Pr Er Tm
10 2 6
direct
0.807 0.277 0.112
0.596 0.000 0.250
0.193 0.723 0.888
0.990 0.639 0.469
0.010 0.361 0.531
0.530 0.723 0.388
0.351 0.361 0.031
0.649 0.639 0.969
0.404 0.000 0.750
0.470 0.277 0.612
0.896 0.000 0.750
0.104 0.000 0.250
0.399 0.349 0.326
0.050 0.651 0.174
0.950 0.349 0.826
0.601 0.651 0.674
0.000 0.000 0.000
0.000 0.000 0.500
```

Calculated values
Energy above the lowest structure with this stoichiometry = 0.000 eV/atom



Here are the calculated calculated formation energy numbers, same order: 0.123; 0.338; 0.271 (eV/atom).